[1]
# Ag2SbPd (PBE-GGA, optimized geometry)
# Volume, Å³/cell: 74.7
# E, eV per atom: -3.847
data_Ag2SbPd
_space_group_name_H-M_alt 'P 1'
_space_group_IT_number 1
_space_group_name_Hall 'P 1'
_cell_length_a 4.539
_cell_length_b 4.056
_cell_length_c 4.056
_cell_angle_alpha 90.00
_cell_angle_beta 90.00
_cell_angle_gamma 90.00
loop_
_atom_site_label
_atom_site_type_symbol
_atom_site_fract_x
_atom_site_fract_y
_atom_site_fract_z
Ag1 Ag 0.000 0.500 0.000
Ag2 Ag 0.000 0.000 0.500
Pd1 Pd 0.500 0.000 0.000
Sb1 Sb 0.500 0.500 0.500

=====

[2]
# AgSb2Pd4 (PBE-GGA, optimized geometry)
# Volume, Å³/cell: 505.0
# E, eV per atom: -4.886
data_AgSb2Pd4
_space_group_name_H-M_alt 'P 1'
_space_group_IT_number 1
_space_group_name_Hall 'P 1'
_cell_length_a 4.511
_cell_length_b 7.529
_cell_length_c 14.869
_cell_angle_alpha 90.00
_cell_angle_beta 90.00
_cell_angle_gamma 90.00
loop_
_atom_site_label
_atom_site_type_symbol
_atom_site_fract_x
_atom_site_fract_y
_atom_site_fract_z
Sb1 Sb 0.750 0.277 0.691
Sb2 Sb 0.250 0.746 0.043
Sb3 Sb 0.250 0.754 0.543
Sb4 Sb 0.750 0.246 0.457
Sb5 Sb 0.250 0.723 0.309
Sb6 Sb 0.250 0.777 0.809
Sb7 Sb 0.750 0.254 0.957
Sb8 Sb 0.750 0.223 0.191
Pd1 Pd 0.250 0.111 0.549
Pd2 Pd 0.250 0.463 0.658
Pd3 Pd 0.250 0.104 0.741
Pd4 Pd 0.750 0.944 0.054
Pd5 Pd 0.750 0.889 0.451
Pd6 Pd 0.250 0.056 0.946
Pd7 Pd 0.250 0.396 0.241
Pd8 Pd 0.750 0.896 0.259
Pd9 Pd 0.750 0.611 0.951
Pd10 Pd 0.750 0.604 0.759
Pd11 Pd 0.750 0.537 0.342
Pd12 Pd 0.250 0.389 0.049
Pd13 Pd 0.250 0.037 0.158
Pd14 Pd 0.250 0.444 0.446
Pd15 Pd 0.750 0.556 0.554
Pd16 Pd 0.750 0.963 0.842
Ag1 Ag 0.750 0.911 0.646
Ag2 Ag 0.750 0.589 0.146
Ag3 Ag 0.250 0.089 0.354
Ag4 Ag 0.250 0.411 0.854

=====

Question: Number 1 is which compound?
Answer: Ag2SbPd